{"formula": "Rb2SrCl", "functional": "GGA-PBE", "state": "relaxed", "final_energy_ev_per_cell": -8.75, "vol_a3_per_fu": 222.4, "crystal_system": "trigonal", "lattice_angstrom": [[4.4933, 0.0000, 0.0000], [2.2467, 3.8913, 0.0000], [2.2467, 1.2971, 12.7222]], "species": ["Cl", "Rb", "Rb", "Sr"], "frac_coords": [[0.5000, 0.5000, 0.5000], [0.1128, 0.1128, 0.6617], [0.8872, 0.8872, 0.3383], [0.0000, 0.0000, 0.0000]]}

---

{"formula": "VCuAu2", "functional": "GGA-PBE", "state": "relaxed", "final_energy_ev_per_cell": -18.35, "vol_a3_per_fu": 65.4, "crystal_system": "trigonal", "e_form_ev_per_atom": 0.354, "lattice_angstrom": [[2.7793, 0.0000, 0.0000], [1.3897, 2.4070, 0.0000], [1.3897, 0.8023, 9.7785]], "species": ["Au", "Au", "V", "Cu"], "frac_coords": [[0.9107, 0.9107, 0.2678], [0.0893, 0.0893, 0.7322], [0.0000, 0.0000, 0.0000], [0.5000, 0.5000, 0.5000]]}

---

{"formula": "MgZrRe2", "functional": "GGA-PBE", "state": "relaxed", "final_energy_ev_per_cell": -34.15, "vol_a3_per_fu": 67.9, "crystal_system": "orthorhombic", "e_form_ev_per_atom": 0.223, "lattice_angstrom": [[3.4009, 0.0000, 0.0000], [0.0000, 4.4641, 0.0000], [0.0000, 0.0000, 4.4711]], "species": ["Mg", "Zr", "Re", "Re"], "frac_coords": [[0.0000, 0.5000, 0.5000], [0.5000, 0.0000, 0.5000], [0.0000, 0.0000, 0.0000], [0.5000, 0.5000, 0.0000]]}

---

Which formula does entry 1 have? Rb2SrCl

---

Number 3 is which compound? MgZrRe2